A plane-wave DFT calculation with PBE was carried out for Tm6CdAg after structural relaxation.

relative energy among the computed polymorphs	0.000	eV/atom
DOS at the Fermi energy	8.14	states/eV per cell
DFT formation energy	-0.14	eV/atom
mass density	9.40	g/cm3
energy	-3.96	eV/atom

a = 4.981 Å, b = 4.981 Å, c = 9.467 Å
α = 74.75°, β = 74.73°, γ = 90.00°
Positions (direct):
Tm  0.749  0.749  0.502
Tm  0.612  0.112  0.776
Tm  0.112  0.612  0.776
Tm  0.388  0.888  0.224
Tm  0.251  0.251  0.498
Tm  0.888  0.388  0.224
Cd  0.500  0.500  0.000
Ag  0.000  0.000  0.000